1.
{
  "formula": "BiRhC3",
  "functional": "PBE",
  "state": "optimized geometry",
  "e_above_lowest_polymorph_mev_per_atom": 0,
  "m_tot_mub_per_cell": 0.0,
  "formation_enthalpy_0k_ev_per_atom": 2.141,
  "dft_energy_ev_per_cell": -28.20,
  "lattice": [[4.0899, 0.0000, 0.0000], [0.0000, 4.0899, 0.0000], [0.0000, 0.0000, 4.0899]],
  "species": ["Rh", "C", "C", "C", "Bi"],
  "frac_coords": [[0.0000, 0.0000, 0.0000], [0.0000, 0.0000, 0.5000], [0.0000, 0.5000, 0.0000], [0.5000, 0.0000, 0.0000], [0.5000, 0.5000, 0.5000]]
}


2.
{
  "formula": "Bi2RhC",
  "functional": "PBE",
  "state": "optimized geometry",
  "m_tot_mub_per_cell": 0.0,
  "formation_enthalpy_0k_ev_per_atom": 0.892,
  "dft_energy_ev_per_cell": -41.54,
  "lattice": [[-1.4179, -0.7287, -5.7763], [4.3179, -4.1195, -0.5402], [-1.9867, -6.1994, -1.8384]],
  "species": ["C", "C", "Bi", "Bi", "Bi", "Bi", "Rh", "Rh"],
  "frac_coords": [[0.5000, 0.5000, 0.0000], [0.2500, 0.7500, 0.5000], [0.5854, 0.1250, 0.2500], [0.3750, 0.4146, 0.7500], [0.8750, 0.8354, 0.7500], [0.1646, 0.6250, 0.2500], [0.0000, 0.0000, 0.0000], [0.7500, 0.2500, 0.5000]]
}


3.
{
  "formula": "BiRh3C",
  "functional": "PBE",
  "state": "optimized geometry",
  "e_above_lowest_polymorph_mev_per_atom": 2467,
  "m_tot_mub_per_cell": 2.0,
  "formation_enthalpy_0k_ev_per_atom": 2.666,
  "dft_energy_ev_per_cell": -21.83,
  "lattice": [[4.9900, 0.0000, 0.0000], [0.0000, 4.9900, 0.0000], [0.0000, 0.0000, 4.9900]],
  "species": ["Rh", "Rh", "Rh", "Bi", "C"],
  "frac_coords": [[0.5000, 0.0000, 0.0000], [0.0000, 0.5000, 0.0000], [0.0000, 0.0000, 0.5000], [0.0000, 0.0000, 0.0000], [0.5000, 0.5000, 0.5000]]
}


4.
{
  "formula": "Bi3RhC",
  "functional": "PBE",
  "state": "optimized geometry",
  "e_above_lowest_polymorph_mev_per_atom": 464,
  "m_tot_mub_per_cell": 1.0,
  "formation_enthalpy_0k_ev_per_atom": 1.555,
  "dft_energy_ev_per_cell": -20.45,
  "lattice": [[-2.4665, 1.7319, -4.3445], [-4.6750, -1.0550, 2.2336], [-0.1352, 4.8832, 2.0234]],
  "species": ["Bi", "Bi", "Bi", "Rh", "C"],
  "frac_coords": [[0.5000, 0.0000, 0.0000], [0.0000, 0.0000, 0.5000], [0.0000, 0.5000, 0.0000], [0.0000, 0.0000, 0.0000], [0.5000, 0.5000, 0.5000]]
}


5.
{
  "formula": "BiRh2C",
  "functional": "PBE",
  "state": "optimized geometry",
  "e_above_lowest_polymorph_mev_per_atom": 0,
  "m_tot_mub_per_cell": 0.0,
  "formation_enthalpy_0k_ev_per_atom": 0.299,
  "dft_energy_ev_per_cell": -53.22,
  "lattice": [[5.3696, 0.0000, 0.0000], [0.0000, 5.3696, 0.0000], [2.6848, 2.6848, 5.0784]],
  "species": ["C", "C", "Rh", "Rh", "Rh", "Rh", "Bi", "Bi"],
  "frac_coords": [[0.2500, 0.7500, 0.5000], [0.5000, 0.5000, 0.0000], [0.3750, 0.4975, 0.7500], [0.8750, 0.7525, 0.7500], [0.5025, 0.1250, 0.2500], [0.2475, 0.6250, 0.2500], [0.0000, 0.0000, 0.0000], [0.7500, 0.2500, 0.5000]]
}


6.
{
  "formula": "BiRh2C",
  "functional": "PBE",
  "state": "optimized geometry",
  "e_above_lowest_polymorph_mev_per_atom": 948,
  "m_tot_mub_per_cell": 0.4,
  "formation_enthalpy_0k_ev_per_atom": 1.247,
  "dft_energy_ev_per_cell": -22.82,
  "lattice": [[0.0000, 3.1411, 3.1411], [3.1411, 0.0000, 3.1411], [3.1411, 3.1411, 0.0000]],
  "species": ["Rh", "Rh", "C", "Bi"],
  "frac_coords": [[0.2500, 0.2500, 0.2500], [0.7500, 0.7500, 0.7500], [0.0000, 0.0000, 0.0000], [0.5000, 0.5000, 0.5000]]
}


7.
{
  "formula": "BiRuRh2C",
  "functional": "PBE",
  "state": "optimized geometry",
  "m_tot_mub_per_cell": 1.4,
  "formation_enthalpy_0k_ev_per_atom": 0.692,
  "dft_energy_ev_per_cell": -33.62,
  "lattice": [[3.9766, 0.0000, 0.0000], [0.0000, 5.1167, 0.0000], [0.0000, 0.0000, 3.9766]],
  "species": ["Ru", "Rh", "Rh", "Bi", "C"],
  "frac_coords": [[0.5000, 0.5000, 0.5000], [0.0000, 0.0000, 0.5000], [0.5000, 0.0000, 0.0000], [0.0000, 0.5000, 0.0000], [0.0000, 0.0000, 0.0000]]
}


8.
{
  "formula": "BiSbRhC2",
  "functional": "PBE",
  "state": "optimized geometry",
  "m_tot_mub_per_cell": 0.7,
  "dft_energy_ev_per_cell": -21.97,
  "raw_formation_energy_ev_per_atom": 2.367,
  "lattice": [[-1.8379, -3.6449, -0.7253], [-0.2879, -0.6671, 4.0819], [-5.6897, 2.8559, 0.0654]],
  "species": ["Bi", "C", "C", "Rh", "Sb"],
  "frac_coords": [[0.0000, 0.0000, 0.5000], [0.0000, 0.5000, 0.0000], [0.5000, 0.0000, 0.0000], [0.5000, 0.5000, 0.5000], [0.0000, 0.0000, 0.0000]]
}


9.
{
  "formula": "BiRhC2Se",
  "functional": "PBE",
  "state": "optimized geometry",
  "m_tot_mub_per_cell": 0.0,
  "dft_energy_ev_per_cell": -19.38,
  "raw_formation_energy_ev_per_atom": 2.757,
  "lattice": [[4.3957, 0.0000, 0.0000], [0.0000, 5.4843, 0.0000], [0.0000, 0.0000, 4.3957]],
  "species": ["Bi", "Rh", "C", "C", "Se"],
  "frac_coords": [[0.0000, 0.0000, 0.0000], [0.5000, 0.5000, 0.5000], [0.0000, 0.0000, 0.5000], [0.5000, 0.0000, 0.0000], [0.0000, 0.5000, 0.0000]]
}


10.
{
  "formula": "Zr7Bi2RhC2",
  "functional": "PBE",
  "state": "optimized geometry",
  "m_tot_mub_per_cell": 0.0,
  "formation_enthalpy_0k_ev_per_atom": -0.460,
  "dft_energy_ev_per_cell": -98.92,
  "lattice": [[4.5490, -0.0032, 0.0125], [0.0024, 4.5490, 0.0125], [2.2555, 2.2528, 11.9630]],
  "species": ["Zr", "Zr", "Zr", "Zr", "Zr", "Zr", "Zr", "C", "C", "Rh", "Bi", "Bi"],
  "frac_coords": [[0.9146, 0.4148, 0.1703], [0.0854, 0.5852, 0.8297], [0.4148, 0.9146, 0.1703], [0.3123, 0.3123, 0.3760], [0.5000, 0.5000, 0.0000], [0.5852, 0.0854, 0.8297], [0.6877, 0.6877, 0.6240], [0.4042, 0.4042, 0.1913], [0.5958, 0.5958, 0.8087], [0.0000, 0.0000, 0.0000], [0.8171, 0.8171, 0.3657], [0.1829, 0.1829, 0.6343]]
}


11.
{
  "formula": "Bi2RuC",
  "functional": "PBE",
  "state": "optimized geometry",
  "m_tot_mub_per_cell": 0.0,
  "formation_enthalpy_0k_ev_per_atom": 1.196,
  "dft_energy_ev_per_cell": -42.96,
  "lattice": [[6.0155, 0.0000, 0.0000], [0.0000, 6.0155, 0.0000], [3.0078, 3.0078, 5.1442]],
  "species": ["Ru", "Ru", "Bi", "Bi", "Bi", "Bi", "C", "C"],
  "frac_coords": [[0.7500, 0.2500, 0.5000], [0.0000, 0.0000, 0.0000], [0.5842, 0.1250, 0.2500], [0.8750, 0.8342, 0.7500], [0.1658, 0.6250, 0.2500], [0.3750, 0.4158, 0.7500], [0.2500, 0.7500, 0.5000], [0.5000, 0.5000, 0.0000]]
}


12.
{
  "formula": "BiRuC3",
  "functional": "PBE",
  "state": "optimized geometry",
  "m_tot_mub_per_cell": 0.0,
  "formation_enthalpy_0k_ev_per_atom": 1.981,
  "dft_energy_ev_per_cell": -30.92,
  "lattice": [[4.0770, 0.0000, 0.0000], [0.0000, 4.0770, 0.0000], [0.0000, 0.0000, 4.0770]],
  "species": ["Ru", "C", "C", "C", "Bi"],
  "frac_coords": [[0.0000, 0.0000, 0.0000], [0.0000, 0.0000, 0.5000], [0.0000, 0.5000, 0.0000], [0.5000, 0.0000, 0.0000], [0.5000, 0.5000, 0.5000]]
}


13.
{
  "formula": "BiRu2C",
  "functional": "PBE",
  "state": "optimized geometry",
  "e_above_lowest_polymorph_mev_per_atom": 935,
  "m_tot_mub_per_cell": 0.0,
  "formation_enthalpy_0k_ev_per_atom": 1.481,
  "dft_energy_ev_per_cell": -25.73,
  "lattice": [[-0.6218, -3.5048, 2.5774], [-3.9685, -1.8723, 0.2432], [-0.6777, -3.9543, -1.7939]],
  "species": ["Bi", "Ru", "Ru", "C"],
  "frac_coords": [[0.5000, 0.5000, 0.5000], [0.2500, 0.2500, 0.2500], [0.7500, 0.7500, 0.7500], [0.0000, 0.0000, 0.0000]]
}


14.
{
  "formula": "BiRu2C",
  "functional": "PBE",
  "state": "optimized geometry",
  "e_above_lowest_polymorph_mev_per_atom": 0,
  "m_tot_mub_per_cell": 0.0,
  "formation_enthalpy_0k_ev_per_atom": 0.546,
  "dft_energy_ev_per_cell": -58.94,
  "lattice": [[5.4605, 0.0000, 0.0000], [0.0000, 5.4605, 0.0000], [2.7303, 2.7303, 4.7931]],
  "species": ["C", "C", "Ru", "Ru", "Ru", "Ru", "Bi", "Bi"],
  "frac_coords": [[0.5000, 0.5000, 0.0000], [0.2500, 0.7500, 0.5000], [0.5048, 0.1250, 0.2500], [0.8750, 0.7548, 0.7500], [0.2452, 0.6250, 0.2500], [0.3750, 0.4952, 0.7500], [0.0000, 0.0000, 0.0000], [0.7500, 0.2500, 0.5000]]
}


15.
{
  "formula": "Sc2BiRuC",
  "functional": "PBE",
  "state": "optimized geometry",
  "m_tot_mub_per_cell": 0.0,
  "formation_enthalpy_0k_ev_per_atom": -0.404,
  "dft_energy_ev_per_cell": -37.07,
  "lattice": [[-1.3721, 4.1056, 1.7808], [0.9078, -1.5685, 4.3157], [3.7666, 1.3843, -0.2892]],
  "species": ["Ru", "C", "Bi", "Sc", "Sc"],
  "frac_coords": [[0.0000, 0.0000, 0.5000], [0.0000, 0.0000, 0.0000], [0.5000, 0.5000, 0.5000], [0.5000, 0.0000, 0.0000], [0.0000, 0.5000, 0.0000]]
}


16.
{
  "formula": "Th3BiRuC",
  "functional": "PBE",
  "state": "optimized geometry",
  "m_tot_mub_per_cell": 0.0,
  "formation_enthalpy_0k_ev_per_atom": -0.412,
  "dft_energy_ev_per_cell": -94.23,
  "lattice": [[3.9045, 0.0000, 0.0000], [0.0000, 9.0968, -0.1245], [0.0000, -3.5910, 8.7257]],
  "species": ["Th", "Th", "Th", "Th", "Th", "Th", "Ru", "Ru", "Bi", "Bi", "C", "C"],
  "frac_coords": [[0.7500, 0.8709, 0.1987], [0.2500, 0.1291, 0.8013], [0.7500, 0.2876, 0.5471], [0.7500, 0.4517, 0.1322], [0.2500, 0.7124, 0.4529], [0.2500, 0.5483, 0.8678], [0.2500, 0.0640, 0.4281], [0.7500, 0.9360, 0.5719], [0.2500, 0.1939, 0.2043], [0.7500, 0.8061, 0.7957], [0.7500, 0.3508, 0.8386], [0.2500, 0.6492, 0.1614]]
}


17.
{
  "formula": "Th6BiRu2C3",
  "functional": "PBE",
  "state": "optimized geometry",
  "m_tot_mub_per_cell": 0.0,
  "formation_enthalpy_0k_ev_per_atom": -0.263,
  "dft_energy_ev_per_cell": -97.78,
  "lattice": [[3.9400, 0.0000, 0.0000], [0.0000, 8.1773, -0.7083], [-1.9700, -3.3516, 8.8209]],
  "species": ["Ru", "Ru", "Th", "Th", "Th", "Th", "Th", "Th", "C", "C", "C", "Bi"],
  "frac_coords": [[0.1380, 0.2250, 0.2759], [0.8620, 0.7750, 0.7241], [0.3016, 0.9088, 0.6031], [0.9568, 0.2702, 0.9137], [0.3440, 0.4873, 0.6880], [0.6984, 0.0912, 0.3969], [0.0432, 0.7298, 0.0863], [0.6560, 0.5127, 0.3120], [0.8356, 0.2869, 0.6711], [0.1644, 0.7131, 0.3289], [0.5000, 0.5000, 0.0000], [0.5000, 0.0000, 0.0000]]
}


18.
{
  "formula": "TiBi2RuC",
  "functional": "PBE",
  "state": "optimized geometry",
  "m_tot_mub_per_cell": 1.9,
  "formation_enthalpy_0k_ev_per_atom": 1.901,
  "dft_energy_ev_per_cell": -24.65,
  "lattice": [[-2.7956, -2.9863, 3.4868], [1.0574, -3.6595, -2.2864], [4.4090, -0.6088, 3.0135]],
  "species": ["C", "Ru", "Ti", "Bi", "Bi"],
  "frac_coords": [[0.5000, 0.5000, 0.5000], [0.0000, 0.5000, 0.0000], [0.0000, 0.0000, 0.0000], [0.5000, 0.0000, 0.0000], [0.0000, 0.0000, 0.5000]]
}


19.
{
  "formula": "Y2BiRuC",
  "functional": "PBE",
  "state": "optimized geometry",
  "e_above_lowest_polymorph_mev_per_atom": 2322,
  "m_tot_mub_per_cell": 1.7,
  "formation_enthalpy_0k_ev_per_atom": 1.900,
  "dft_energy_ev_per_cell": -25.81,
  "lattice": [[-0.3466, 4.3287, 3.7714], [-4.3562, 1.2732, -1.8618], [-2.6217, -3.4806, 3.7540]],
  "species": ["C", "Y", "Y", "Bi", "Ru"],
  "frac_coords": [[0.5000, 0.5000, 0.5000], [0.5000, 0.0000, 0.0000], [0.0000, 0.0000, 0.5000], [0.0000, 0.0000, 0.0000], [0.0000, 0.5000, 0.0000]]
}


20.
{
  "formula": "Y2BiRuC",
  "functional": "PBE",
  "state": "optimized geometry",
  "e_above_lowest_polymorph_mev_per_atom": 0,
  "m_tot_mub_per_cell": 0.0,
  "formation_enthalpy_0k_ev_per_atom": -0.421,
  "dft_energy_ev_per_cell": -37.41,
  "lattice": [[-0.9112, 0.0576, -5.0291], [4.8092, -1.4857, -0.8884], [-1.1490, -3.8178, 0.1644]],
  "species": ["Y", "Y", "Bi", "C", "Ru"],
  "frac_coords": [[0.0000, 0.5000, 0.0000], [0.5000, 0.0000, 0.0000], [0.5000, 0.5000, 0.5000], [0.0000, 0.0000, 0.0000], [0.0000, 0.0000, 0.5000]]
}